YSn2PdPt | SCAN | PBEsol geometry

abc: 4.9033 5.5713 5.5713
angles: 90.00 90.00 90.00
Fractional positions:
Y  0.0000  0.0000  0.0000
Pd  0.5000  0.5000  0.5000
Sn  0.0000  0.0000  0.5000
Sn  0.0000  0.5000  0.0000
Pt  0.5000  0.0000  0.0000

Computed properties:
The raw total energy comes out at -197.75 eV/cell. Its energy relative to the elements is 980.1 meV per atom. Its density of states at the Fermi level is 4.45 states/eV per cell. Its space group is P4/mmm.